Computed, not measured: a geometry-optimized ScCN2O structure at the PBE level of DFT.

Lattice parameters (Å, degrees): 3.033 3.033 5.086 90.00 90.00 90.00
Fractional positions:
N  0.000  0.500  0.000
N  0.500  0.000  0.000
C  0.000  0.000  0.000
O  0.000  0.000  0.500
Sc  0.500  0.500  0.500

The total energy is -7.048 eV/atom. The formation energy from raw total energies comes out at 1.92 eV/f.u. Its space group is P4/mmm (123). The value obtained for the magnetization is 0.00 Bohr magnetons per cell.

Computed, not measured: a geometry-optimized Sm3PbN2 structure at the PBE level of DFT.

Lattice parameters (Å, degrees): 6.278 6.980 6.980 111.47 97.04 82.96
Fractional positions:
N  0.524  0.882  0.164
N  0.476  0.118  0.836
N  0.024  0.836  0.118
N  0.976  0.164  0.882
Sm  0.750  0.113  0.113
Sm  0.718  0.112  0.624
Sm  0.250  0.887  0.887
Sm  0.782  0.624  0.112
Sm  0.218  0.376  0.888
Sm  0.282  0.888  0.376
Pb  0.750  0.578  0.578
Pb  0.250  0.422  0.422

The total energy is -6.739 eV/atom. The formation energy from raw total energies comes out at -5.92 eV/f.u. Its space group is C2/c (15). The value obtained for the magnetization is 0.00 Bohr magnetons per cell.

Computed, not measured: a geometry-optimized LaZnRe2 structure at the PBE level of DFT.

Lattice parameters (Å, degrees): 4.342 4.342 5.956 68.64 68.64 60.03
Fractional positions:
Zn  0.454  0.454  0.637
Re  0.054  0.054  0.839
Re  0.740  0.740  0.780
La  0.252  0.252  0.245

The total energy is -7.741 eV/atom. Its space group is R3m (160). The value obtained for the formation energy from the elements is 0.03 eV/atom. The value obtained for the magnetization is 0.00 Bohr magnetons per cell.

Computed, not measured: a geometry-optimized YHfTc structure at the PBE level of DFT.

Lattice parameters (Å, degrees): 6.160 5.544 7.616 90.00 90.00 90.00
Fractional positions:
Y  0.500  0.250  0.862
Y  0.000  0.750  0.362
Y  0.500  0.750  0.138
Y  0.000  0.250  0.638
Hf  0.750  0.250  0.250
Hf  0.250  0.250  0.250
Hf  0.250  0.750  0.750
Hf  0.750  0.750  0.750
Tc  0.000  0.500  0.000
Tc  0.500  0.000  0.500
Tc  0.500  0.500  0.500
Tc  0.000  0.000  0.000

The total energy is -9.030 eV/atom. Its space group is Imma (74). The value obtained for the formation energy from the elements is -0.10 eV/atom. Its energy above the lowest structure with this stoichiometry is 0.171 eV per formula unit. The value obtained for the magnetization is 0.00 Bohr magnetons per cell.

Computed, not measured: a geometry-optimized ZrTi2HgO structure at the PBE level of DFT.

Lattice parameters (Å, degrees): 4.181 4.181 4.555 90.00 90.00 90.00
Fractional positions:
Hg  0.500  0.500  0.500
O  0.000  0.000  0.000
Ti  0.500  0.000  0.000
Ti  0.000  0.500  0.000
Zr  0.000  0.000  0.500

The total energy is -7.012 eV/atom. The formation energy from raw total energies comes out at -5.46 eV/f.u. Its space group is P4/mmm (123). The value obtained for the magnetization is 0.00 Bohr magnetons per cell.

Computed, not measured: a geometry-optimized CaHo2Ga3 structure at the PBE level of DFT.

Lattice parameters (Å, degrees): 3.577 3.577 10.901 90.00 90.00 90.00
Fractional positions:
Ho  0.500  0.500  0.165
Ho  0.500  0.500  0.835
Ga  0.000  0.000  0.324
Ga  0.000  0.000  0.676
Ga  0.000  0.000  0.000
Ca  0.500  0.500  0.500

The total energy is -3.901 eV/atom. Its space group is P4/mmm (123). The value obtained for the formation energy from the elements is -0.53 eV/atom. The value obtained for the magnetization is 0.00 Bohr magnetons per cell.